DFT (PBE-GGA) results for ErTh2Rh6 after structural relaxation.

Output
Symmetry   Immm, No. 71
ΔH_f (0 K)   -0.483 eV per atom
Total moment   0.00 μB per formula unit
N(E_F)   5.98 states/eV/cell
Final energy   -7.540 eV per atom

```
ErTh2Rh6
1.0
-1.163 0.718 3.721
-1.683 -7.861 0.990
6.934 2.631 -0.456
Er Th Rh
1 2 6
Cartesian
0.000 0.000 0.000
0.424 -3.887 2.991
3.664 -0.625 1.264
1.399 -2.295 0.878
3.522 1.676 2.887
2.689 -2.217 3.377
-1.012 -1.651 2.114
0.566 -6.188 1.368
-1.834 -5.492 2.597
```